(1)
SrAu2, optimized geometry, DFT GGA-PBE; E_tot = -3.45 eV per atom; E_form = -707 meV per atom; space-group type = No. 141; crystal system = tetragonal
1.0
-2.1465 2.1465 8.8707
2.1465 -2.1465 8.8707
2.1465 2.1465 -8.8707
Sr Au
2 4
direct
0.3750 0.6250 0.7500
0.6250 0.3750 0.2500
0.0481 0.7981 0.2500
0.2019 0.9519 0.2500
0.7981 0.0481 0.7500
0.9519 0.2019 0.7500



(2)
SrTaAu, optimized geometry, DFT GGA-PBE; E_tot = -4.60 eV per atom; E_form = 1000 meV per atom; space-group type = No. 216; crystal system = cubic; distance to the lowest polymorph of the same formula = 1.068 eV/atom
1.0
0.0000 3.3598 3.3598
3.3598 0.0000 3.3598
3.3598 3.3598 0.0000
Sr Ta Au
1 1 1
direct
0.0000 0.0000 0.0000
0.7500 0.7500 0.7500
0.5000 0.5000 0.5000